Compound: Er6Tm
Source: Alexandria
Functional: PBE-GGA
Structure: optimized geometry

Structure (POSCAR):
```
Er6Tm
1.0
-0.705 -5.547 -3.108
6.358 -0.659 -0.266
-0.152 -5.291 9.479
Er Tm
12 2
Cartesian
-0.021 -0.742 1.329
4.718 -7.631 3.746
4.998 -4.303 2.182
4.035 -4.750 5.343
2.805 -3.845 -0.358
3.609 -6.970 0.672
0.545 -5.736 1.311
-0.131 -4.549 8.149
1.933 -3.070 2.822
2.696 -7.652 6.463
0.741 -5.324 4.970
1.424 -8.205 3.373
3.179 -0.330 -0.133
-0.353 -2.774 -1.554
```

Computed properties:
- Energy of formation: 275 meV per atom
- Distance to the lowest polymorph of the same formula: 0 meV/atom
- Total DFT energy (no corrections): -4.27 eV/atom